Entry 1:
18
Lattice="5.2815 0.0000 0.0000 0.0000 9.7146 0.0000 -5.2734 0.0000 10.1280" Properties=species:S:1:pos:R:3 comment="GGA-PBE Ho2Tm6Al, relaxed" sg="P2_1/c (14)" delta_e_f_ev_per_atom=-0.002 pbc="T T T"
Ho 0.0024 1.8857 2.3857
Ho -2.6343 2.9716 7.4496
Ho 2.6424 6.7431 2.6783
Ho 0.0057 7.8289 7.7423
Tm -2.6372 6.1621 6.1678
Tm -0.0004 8.4098 1.1038
Tm 0.0031 5.0632 1.8649
Tm -2.6336 9.5087 6.9289
Tm -2.6358 6.6383 9.4874
Tm 0.0009 7.9336 4.4234
Tm 0.0072 1.7810 5.7046
Tm 2.6439 3.0763 0.6406
Tm 2.6417 0.2059 3.1991
Tm 0.0050 4.6514 8.2631
Tm 0.0085 1.3048 9.0242
Tm 2.6452 3.5525 3.9602
Al 2.6407 0.0000 0.0000
Al 0.0040 4.8573 5.0640


Entry 2:
7
Lattice="2.6075 1.5054 7.7149 -2.6075 1.5054 7.7149 0.0000 -3.0108 7.7149" Properties=species:S:1:pos:R:3 comment="GGA-PBE Ho2Tm3Al2, relaxed" relative_energy_ev_per_atom=0.000 sg="R-3m (166)" delta_e_f_ev_per_atom=-0.210 pbc="T T T"
Ho 0.0000 0.0000 1.8967
Ho 0.0000 0.0000 21.2481
Tm 0.0000 0.0000 8.0535
Tm 0.0000 0.0000 11.5724
Tm 0.0000 0.0000 15.0912
Al 0.0000 0.0000 5.0492
Al 0.0000 0.0000 18.0956


Entry 3:
14
Lattice="5.9811 0.0000 0.0000 0.0000 10.2677 0.0000 -2.4402 0.0000 6.2956" Properties=species:S:1:pos:R:3 comment="GGA-PBE Ho4TmAl2, relaxed" relative_energy_ev_per_atom=0.000 sg="P2_1/c (14)" delta_e_f_ev_per_atom=-0.073 pbc="T T T"
Ho -1.1940 1.6469 3.1422
Ho -2.4141 3.4869 6.2900
Ho 1.7501 7.2829 3.1410
Ho 0.5300 8.1187 6.2888
Ho 3.0110 2.1490 0.0068
Ho 1.7909 2.9849 3.1547
Ho 5.9551 6.7808 0.0056
Ho 4.7350 8.6208 3.1534
Tm 0.0000 0.0000 0.0000
Tm -1.2201 5.1339 3.1478
Al 2.4487 5.1408 1.1559
Al 1.2286 10.2608 4.3038
Al 2.3123 0.0069 1.9919
Al 1.0922 5.1269 5.1397


Entry 4:
11
Lattice="-1.6419 3.5443 13.6037 1.6419 -3.5443 13.6037 1.6419 3.5443 -13.6037" Properties=species:S:1:pos:R:3 comment="GGA-PBE Ho5Tm2Al4, relaxed" sg="Immm (71)" delta_e_f_ev_per_atom=0.225 pbc="T T T"
Ho 0.0000 0.0000 0.0000
Ho 1.6419 1.7379 -2.9198
Ho 1.6419 1.7379 2.9198
Ho 0.0000 1.8064 10.6838
Ho 0.0000 1.8064 16.5235
Tm 1.6419 0.0000 5.8357
Tm 0.0000 3.5443 7.7680
Al 1.6419 0.0000 8.7636
Al 1.6419 2.3446 0.0000
Al 0.0000 1.1997 13.6037
Al 0.0000 3.5443 4.8401